The following is a DFT calculation (PBE) of crystalline SrYV2 at its relaxed geometry.

a = 4.7351 Å, b = 4.7351 Å, c = 10.9199 Å
α = 77.48°, β = 77.48°, γ = 90.00°
Atoms (fractional coordinates):
Y: 0.0000 0.0000 0.0000
Y: 0.7500 0.2500 0.5000
Sr: 0.5000 0.5000 0.0000
Sr: 0.2500 0.7500 0.5000
V: 0.8752 0.1250 0.2500
V: 0.8748 0.6250 0.2500
V: 0.3750 0.1248 0.7500
V: 0.8750 0.1252 0.7500

Properties
**Polymorph energy (0 for the lowest one)**: 408 meV/atom

---

The following is a DFT calculation (PBE) of crystalline Sr3YV at its relaxed geometry.

a = 6.4730 Å, b = 6.4730 Å, c = 6.4730 Å
α = 90.00°, β = 90.00°, γ = 90.00°
Atoms (fractional coordinates):
Y: 0.0000 0.0000 0.0000
Sr: 0.0000 0.5000 0.0000
Sr: 0.0000 0.0000 0.5000
Sr: 0.5000 0.0000 0.0000
V: 0.5000 0.5000 0.5000

Properties
**Polymorph energy (0 for the lowest one)**: 627 meV/atom

---

The following is a DFT calculation (PBE) of crystalline Sr3YV at its relaxed geometry.

a = 6.1068 Å, b = 6.1068 Å, c = 6.1068 Å
α = 90.00°, β = 90.00°, γ = 90.00°
Atoms (fractional coordinates):
Y: 0.5000 0.5000 0.5000
Sr: 0.0000 0.5000 0.0000
Sr: 0.0000 0.0000 0.5000
Sr: 0.5000 0.0000 0.0000
V: 0.0000 0.0000 0.0000

Properties
**Polymorph energy (0 for the lowest one)**: 0 meV/atom

---

The following is a DFT calculation (PBE) of crystalline Sr2V2Zn at its relaxed geometry.

a = 4.5980 Å, b = 4.5980 Å, c = 7.4212 Å
α = 71.95°, β = 71.95°, γ = 90.00°
Atoms (fractional coordinates):
Sr: 0.7500 0.2500 0.5000
Sr: 0.2500 0.7500 0.5000
Zn: 0.0000 0.0000 0.0000
V: 0.4325 0.4325 0.1351
V: 0.5675 0.5675 0.8649

Properties
**Polymorph energy (0 for the lowest one)**: 390 meV/atom

---

The following is a DFT calculation (PBE) of crystalline SrVZn2 at its relaxed geometry.

a = 4.8505 Å, b = 4.8505 Å, c = 9.9231 Å
α = 75.85°, β = 75.85°, γ = 90.00°
Atoms (fractional coordinates):
Sr: 0.0000 0.0000 0.0000
Sr: 0.7500 0.2500 0.5000
Zn: 0.3830 0.1250 0.2500
Zn: 0.3670 0.6250 0.2500
Zn: 0.3750 0.6170 0.7500
Zn: 0.8750 0.6330 0.7500
V: 0.5000 0.5000 0.0000
V: 0.2500 0.7500 0.5000

Properties
**Electronic total energy**: -23.368 eV per cell

---

The following is a DFT calculation (PBE) of crystalline Sr2V2Zn at its relaxed geometry.

a = 8.8166 Å, b = 8.8166 Å, c = 3.7674 Å
α = 90.00°, β = 90.00°, γ = 90.00°
Atoms (fractional coordinates):
Sr: 0.2073 0.7073 0.5000
Sr: 0.7073 0.7927 0.5000
Sr: 0.7927 0.2927 0.5000
Sr: 0.2927 0.2073 0.5000
Zn: 0.0000 0.0000 0.0000
Zn: 0.5000 0.5000 0.0000
V: 0.4266 0.9266 0.0000
V: 0.9266 0.5734 0.0000
V: 0.5734 0.0734 0.0000
V: 0.0734 0.4266 0.0000

Properties
**Polymorph energy (0 for the lowest one)**: 0 meV/atom

---

The following is a DFT calculation (PBE) of crystalline SrZr3V at its relaxed geometry.

a = 5.1238 Å, b = 5.1238 Å, c = 5.1238 Å
α = 90.00°, β = 90.00°, γ = 90.00°
Atoms (fractional coordinates):
Sr: 0.5000 0.5000 0.5000
Zr: 0.0000 0.5000 0.0000
Zr: 0.0000 0.0000 0.5000
Zr: 0.5000 0.0000 0.0000
V: 0.0000 0.0000 0.0000

Properties
**Polymorph energy (0 for the lowest one)**: 0 meV/atom

---

The following is a DFT calculation (PBE) of crystalline SrZr3V at its relaxed geometry.

a = 5.1221 Å, b = 5.1221 Å, c = 5.1221 Å
α = 90.00°, β = 90.00°, γ = 90.00°
Atoms (fractional coordinates):
Sr: 0.0000 0.0000 0.0000
Zr: 0.0000 0.5000 0.0000
Zr: 0.0000 0.0000 0.5000
Zr: 0.5000 0.0000 0.0000
V: 0.5000 0.5000 0.5000

Properties
**Polymorph energy (0 for the lowest one)**: 1512 meV/atom

---

The following is a DFT calculation (PBE) of crystalline SrZr2V at its relaxed geometry.

a = 7.4871 Å, b = 7.4871 Å, c = 7.5061 Å
α = 60.08°, β = 60.08°, γ = 90.00°
Atoms (fractional coordinates):
Sr: 0.0000 0.0000 0.0000
Sr: 0.7500 0.2500 0.5000
Zr: 0.3750 0.1250 0.2500
Zr: 0.3750 0.6250 0.2500
Zr: 0.3750 0.6250 0.7500
Zr: 0.8750 0.6250 0.7500
V: 0.5000 0.5000 0.0000
V: 0.2500 0.7500 0.5000

Properties
**Polymorph energy (0 for the lowest one)**: 435 meV/atom

---

The following is a DFT calculation (PBE) of crystalline SrZrV2 at its relaxed geometry.

a = 4.7102 Å, b = 4.7102 Å, c = 10.1354 Å
α = 76.56°, β = 76.56°, γ = 90.00°
Atoms (fractional coordinates):
Sr: 0.5000 0.5000 0.0000
Sr: 0.2500 0.7500 0.5000
Zr: 0.0000 0.0000 0.0000
Zr: 0.7500 0.2500 0.5000
V: 0.9150 0.1250 0.2500
V: 0.8350 0.6250 0.2500
V: 0.3750 0.0850 0.7500
V: 0.8750 0.1650 0.7500

Properties
**Polymorph energy (0 for the lowest one)**: 353 meV/atom

---

The following is a DFT calculation (PBE) of crystalline SrZrV2 at its relaxed geometry.

a = 5.0565 Å, b = 5.0565 Å, c = 5.0565 Å
α = 60.00°, β = 60.00°, γ = 60.00°
Atoms (fractional coordinates):
Sr: 0.0000 0.0000 0.0000
Zr: 0.5000 0.5000 0.5000
V: 0.2500 0.2500 0.2500
V: 0.7500 0.7500 0.7500

Properties
**Polymorph energy (0 for the lowest one)**: 0 meV/atom

---

The following is a DFT calculation (PBE) of crystalline SrZr2V at its relaxed geometry.

a = 5.1530 Å, b = 5.1530 Å, c = 5.1530 Å
α = 60.00°, β = 60.00°, γ = 60.00°
Atoms (fractional coordinates):
Sr: 0.5000 0.5000 0.5000
Zr: 0.2500 0.2500 0.2500
Zr: 0.7500 0.7500 0.7500
V: 0.0000 0.0000 0.0000

Properties
**Polymorph energy (0 for the lowest one)**: 0 meV/atom

---

The following is a DFT calculation (PBE) of crystalline SrZrV3 at its relaxed geometry.

a = 4.9623 Å, b = 4.9623 Å, c = 4.9623 Å
α = 90.00°, β = 90.00°, γ = 90.00°
Atoms (fractional coordinates):
Sr: 0.5000 0.5000 0.5000
Zr: 0.0000 0.0000 0.0000
V: 0.0000 0.5000 0.0000
V: 0.0000 0.0000 0.5000
V: 0.5000 0.0000 0.0000

Properties
**Polymorph energy (0 for the lowest one)**: 0 meV/atom

---

The following is a DFT calculation (PBE) of crystalline SrW at its relaxed geometry.

a = 6.4024 Å, b = 6.4024 Å, c = 6.4024 Å
α = 147.62°, β = 126.96°, γ = 63.53°
Atoms (fractional coordinates):
Sr: 0.3540 0.6040 0.2500
Sr: 0.6460 0.3960 0.7500
W: 0.9241 0.1741 0.2500
W: 0.0759 0.8259 0.7500

Properties
**Polymorph energy (0 for the lowest one)**: 394 meV/atom

---

The following is a DFT calculation (PBE) of crystalline Sr3W at its relaxed geometry.

a = 7.3317 Å, b = 7.3317 Å, c = 6.1079 Å
α = 65.38°, β = 65.38°, γ = 31.21°
Atoms (fractional coordinates):
Sr: 0.5000 0.5000 0.5000
Sr: 0.6976 0.6976 0.8024
Sr: 0.3024 0.3024 0.1976
W: 0.0000 0.0000 0.0000

Properties
**Polymorph energy (0 for the lowest one)**: 490 meV/atom

---

The following is a DFT calculation (PBE) of crystalline SrW2 at its relaxed geometry.

a = 8.4706 Å, b = 8.4706 Å, c = 5.4343 Å
α = 90.00°, β = 90.00°, γ = 161.47°
Atoms (fractional coordinates):
Sr: 0.6185 0.3815 0.7500
Sr: 0.3815 0.6185 0.2500
W: 0.9447 0.0553 0.7500
W: 0.2932 0.7068 0.7500
W: 0.7068 0.2932 0.2500
W: 0.0553 0.9447 0.2500

Properties
**Electronic total energy**: -46.553 eV per cell

---

The following is a DFT calculation (PBE) of crystalline SrW at its relaxed geometry.

a = 3.0124 Å, b = 4.5786 Å, c = 7.9602 Å
α = 90.00°, β = 90.00°, γ = 90.00°
Atoms (fractional coordinates):
Sr: 0.0000 0.0000 0.9745
Sr: 0.0000 0.5000 0.3589
W: 0.5000 0.0000 0.5953
W: 0.5000 0.5000 0.7380

Properties
**Polymorph energy (0 for the lowest one)**: 560 meV/atom

---

The following is a DFT calculation (PBE) of crystalline SrW at its relaxed geometry.

a = 5.5675 Å, b = 5.5675 Å, c = 11.5019 Å
α = 90.00°, β = 90.00°, γ = 120.00°
Atoms (fractional coordinates):
Sr: 0.0000 0.0000 0.3609
Sr: 0.0000 0.0000 0.6391
Sr: 0.3333 0.6667 0.6941
Sr: 0.3333 0.6667 0.9721
Sr: 0.6667 0.3333 0.0279
Sr: 0.6667 0.3333 0.3059
W: 0.0000 0.0000 0.1000
W: 0.0000 0.0000 0.9000
W: 0.3333 0.6667 0.4332
W: 0.3333 0.6667 0.2331
W: 0.6667 0.3333 0.7669
W: 0.6667 0.3333 0.5668

Properties
**Polymorph energy (0 for the lowest one)**: 667 meV/atom

---

The following is a DFT calculation (PBE) of crystalline SrW2 at its relaxed geometry.

a = 4.2361 Å, b = 4.2361 Å, c = 5.1985 Å
α = 90.00°, β = 90.00°, γ = 120.00°
Atoms (fractional coordinates):
Sr: 0.0000 0.0000 0.0000
W: 0.3333 0.6667 0.5000
W: 0.6667 0.3333 0.5000

Properties
**Electronic total energy**: -23.953 eV per cell

---

The following is a DFT calculation (PBE) of crystalline SrW2 at its relaxed geometry.

a = 5.9293 Å, b = 5.9293 Å, c = 5.9293 Å
α = 100.85°, β = 100.85°, γ = 128.56°
Atoms (fractional coordinates):
Sr: 0.2500 0.2500 0.0000
Sr: 0.7500 0.7500 0.0000
W: 0.6073 0.8927 0.5000
W: 0.3927 0.1073 0.5000
W: 0.8927 0.3927 0.2854
W: 0.1073 0.6073 0.7146

Properties
**Electronic total energy**: -42.718 eV per cell